[1]
## Ho4B3TeRh12 (GGA-PBE)

Data for a relaxed Ho4B3TeRh12 crystal.

total energy	-7.08	eV per atom

Cell: 7.534 7.534 7.534 Å, 109.47 109.47 109.47°
Positions (direct):
Ho 0.500 0.500 0.500
Ho 0.000 0.000 0.500
Ho 0.500 0.000 0.000
Ho 0.000 0.500 0.000
B 0.500 0.000 0.500
B 0.500 0.500 0.000
B 0.000 0.500 0.500
Te 0.000 0.000 0.000
Rh 0.250 0.500 0.750
Rh 0.724 0.000 0.724
Rh 0.276 0.000 0.276
Rh 0.750 0.500 0.250
Rh 0.724 0.724 0.000
Rh 0.276 0.276 0.000
Rh 0.750 0.250 0.500
Rh 0.250 0.750 0.500
Rh 0.500 0.250 0.750
Rh 0.000 0.724 0.724
Rh 0.500 0.750 0.250
Rh 0.000 0.276 0.276


[2]
## Ho4TlB3Rh12 (GGA-PBE)

Data for a relaxed Ho4TlB3Rh12 crystal.

ΔE_f	-44.9	kJ per mole of atoms
total energy	-6.91	eV per atom

Cell: 7.578 7.578 7.578 Å, 109.47 109.47 109.47°
Positions (direct):
Ho 0.500 0.500 0.500
Ho 0.000 0.000 0.500
Ho 0.500 0.000 0.000
Ho 0.000 0.500 0.000
Tl 0.000 0.000 0.000
B 0.500 0.000 0.500
B 0.500 0.500 0.000
B 0.000 0.500 0.500
Rh 0.250 0.500 0.750
Rh 0.717 0.000 0.717
Rh 0.283 0.000 0.283
Rh 0.750 0.500 0.250
Rh 0.717 0.717 0.000
Rh 0.283 0.283 0.000
Rh 0.750 0.250 0.500
Rh 0.250 0.750 0.500
Rh 0.500 0.250 0.750
Rh 0.000 0.717 0.717
Rh 0.500 0.750 0.250
Rh 0.000 0.283 0.283


Q: What is the formula in the second record?
A: Ho4TlB3Rh12


Q: Number 2 is which compound?
A: Ho4TlB3Rh12